# TlRe3 GGA-PBE optimized geometry
# E_tot = -71.97 eV/cell
# formation enthalpy at 0 K = 0.932 eV/atom
# density of states at the Fermi level = 8.9 states/eV per cell
data_TlRe3
_chemical_formula_sum 'Tl2 Re6'
_symmetry_space_group_name_H-M 'I 4/m m m'
_symmetry_Int_Tables_number 139
_symmetry_space_group_name_Hall '-I 4 2'
_cell_length_a 3.9404
_cell_length_b 3.9404
_cell_length_c 8.4483
_cell_angle_alpha 90.00
_cell_angle_beta 90.00
_cell_angle_gamma 90.00
loop_
_atom_site_label
_atom_site_type_symbol
_atom_site_fract_x
_atom_site_fract_y
_atom_site_fract_z
_atom_site_occupancy
Tl1 Tl 0.0000 0.0000 0.0000 1
Re1 Re 0.0000 0.0000 0.5000 1
Re2 Re 0.0000 0.5000 0.2500 1